(1)
Er4AlNi: optimized geometry, GGA-PBE.

## Properties
* formation enthalpy at 0 K: -2.1 eV per formula unit
* space group: No. 216
* magnetic moment: 0.0 μB per formula unit
* ρ: 8.64 g/cm³
* excess energy over the best structure of this formula in the dataset: 0 meV/atom

a b c (Å): 9.3623 9.3623 9.3623
angles (deg): 60.00 60.00 60.00
Last column: nearest neighbours and their distance in Å.
Fractional positions:
Er  0.1860  0.1860  0.8140  2 Al 3.23, 2 Ni 3.40, 10 Er 3.40-3.51
Er  0.1860  0.8140  0.1860  2 Al 3.23, 2 Ni 3.40, 10 Er 3.40-3.51
Er  0.1860  0.8140  0.8140  2 Al 3.23, 2 Ni 3.40, 10 Er 3.40-3.51
Er  0.3992  0.3992  0.3992  3 Ni 2.76
Er  0.3992  0.3992  0.8025  3 Ni 2.76
Er  0.3992  0.8025  0.3992  3 Ni 2.76
Er  0.5594  0.5594  0.9406  2 Ni 2.75
Er  0.5594  0.9406  0.5594  2 Ni 2.75
Er  0.5594  0.9406  0.9406  2 Ni 2.75
Er  0.8025  0.3992  0.3992  3 Ni 2.76
Er  0.8140  0.1860  0.1860  2 Al 3.23, 2 Ni 3.40, 10 Er 3.40-3.51
Er  0.8140  0.1860  0.8140  2 Al 3.23, 2 Ni 3.40, 10 Er 3.40-3.51
Er  0.8140  0.8140  0.1860  2 Al 3.23, 2 Ni 3.40, 10 Er 3.40-3.51
Er  0.9406  0.5594  0.5594  2 Ni 2.75
Er  0.9406  0.5594  0.9406  2 Ni 2.75
Er  0.9406  0.9406  0.5594  2 Ni 2.75
Al  0.1724  0.1724  0.1724  3 Al 2.90, 3 Er 3.23
Al  0.1724  0.1724  0.4827  3 Al 2.90, 3 Er 3.23
Al  0.1724  0.4827  0.1724  3 Al 2.90, 3 Er 3.23
Al  0.4827  0.1724  0.1724  3 Al 2.90, 3 Er 3.23
Ni  0.1787  0.6071  0.6071  6 Er 2.75-2.76
Ni  0.6071  0.1787  0.6071  6 Er 2.75-2.76
Ni  0.6071  0.6071  0.1787  6 Er 2.75-2.76
Ni  0.6071  0.6071  0.6071  6 Er 2.75-2.76

(2)
Tb7Sm3Sc2: optimized geometry, GGA-PBE.

## Properties
* formation enthalpy at 0 K: 1.2 eV per formula unit
* space group: No. 10
* magnetic moment: 0.0 μB per formula unit
* ρ: 7.27 g/cm³
* excess energy over the best structure of this formula in the dataset: 0 meV/atom

a b c (Å): 5.7955 3.5267 18.4966
angles (deg): 90.00 93.26 90.00
Last column: nearest neighbours and their distance in Å.
Fractional positions:
Tb  0.0000  0.0000  0.0000  4 Tb 3.35-3.53, 4 Sm 3.39
Tb  0.1935  0.5000  0.1817  6 Tb 3.43-3.53, 2 Sc 3.57, 2 Sm 3.82
Tb  0.2567  0.5000  0.5384  1 Sc 3.08, 2 Tb 3.22-3.23
Tb  0.3087  0.0000  0.8523  2 Sc 3.24, 7 Tb 3.35-3.53, 2 Sm 3.38
Tb  0.6913  0.0000  0.1477  2 Sc 3.24, 7 Tb 3.35-3.53, 2 Sm 3.38
Tb  0.7433  0.5000  0.4616  1 Sc 3.08, 2 Tb 3.22-3.23
Tb  0.8065  0.5000  0.8183  6 Tb 3.43-3.53, 2 Sc 3.57, 2 Sm 3.82
Sm  0.2239  0.0000  0.3651  2 Sm 3.53, 4 Sc 3.62-3.65, 8 Tb 3.65-3.84
Sm  0.5000  0.5000  0.0000  8 Tb 3.38-3.39, 2 Sm 3.53
Sm  0.7761  0.0000  0.6349  2 Sm 3.53, 4 Sc 3.62-3.65, 8 Tb 3.65-3.84
Sc  0.2857  0.5000  0.7053  3 Tb 3.08-3.24
Sc  0.7143  0.5000  0.2947  3 Tb 3.08-3.24